Entry 1:
A relaxed La12NiAu6 crystal, computed with GGA-PBE.

abc: 8.7142 8.7142 8.7142
angles: 98.09 98.09 98.09
Last column: nearest neighbours and their distance in Å.
Fractional coordinates of all 19 atoms:
La1 0.0304 0.9373 0.6839  1 Ni 2.79, 1 Au 3.09
La2 0.0627 0.3161 0.9696  1 Ni 2.79, 1 Au 3.09
La3 0.1874 0.5785 0.4240  4 Au 2.98-3.27
La4 0.3161 0.9696 0.0627  1 Ni 2.79, 1 Au 3.09
La5 0.4215 0.5760 0.8126  4 Au 2.98-3.27
La6 0.4240 0.1874 0.5785  4 Au 2.98-3.27
La7 0.5760 0.8126 0.4215  4 Au 2.98-3.27
La8 0.5785 0.4240 0.1874  4 Au 2.98-3.27
La9 0.6839 0.0304 0.9373  1 Ni 2.79, 1 Au 3.09
La10 0.8126 0.4215 0.5760  4 Au 2.98-3.27
La11 0.9373 0.6839 0.0304  1 Ni 2.79, 1 Au 3.09
La12 0.9696 0.0627 0.3161  1 Ni 2.79, 1 Au 3.09
Ni1 0.0000 0.0000 0.0000  6 La 2.79
Au1 0.1275 0.3069 0.6297  7 La 2.98-3.33
Au2 0.3069 0.6297 0.1275  7 La 2.98-3.33
Au3 0.3703 0.8725 0.6931  7 La 2.98-3.33
Au4 0.6297 0.1275 0.3069  7 La 2.98-3.33
Au5 0.6931 0.3703 0.8725  7 La 2.98-3.33
Au6 0.8725 0.6931 0.3703  7 La 2.98-3.33

Calculated values
Energy relative to the elements, kJ/mol of atoms: -42.40
Density of states at the Fermi level, states/eV/cell: 26.50
Calculated volume, Å³/f.u.: 640

Entry 2:
A relaxed LaNi3Au crystal, computed with GGA-PBE.

abc: 4.6544 4.6544 4.6544
angles: 90.00 90.00 90.00
Last column: nearest neighbours and their distance in Å.
Fractional coordinates of all 5 atoms:
La1 0.0000 0.0000 0.0000  6 Ni 2.33
Ni1 0.0000 0.0000 0.5000  2 La 2.33
Ni2 0.0000 0.5000 0.0000  2 La 2.33
Ni3 0.5000 0.0000 0.0000  2 La 2.33
Au1 0.5000 0.5000 0.5000  12 Ni 3.29

Calculated values
Energy relative to the elements, kJ/mol of atoms: 112.13
Density of states at the Fermi level, states/eV/cell: 1.76
Calculated volume, Å³/f.u.: 101
Offset from the most stable computed form, eV/atom: 0.7736

Entry 3:
A relaxed LaNi2Au crystal, computed with GGA-PBE.

abc: 3.6221 3.6221 5.5825
angles: 90.00 90.00 90.00
Last column: nearest neighbours and their distance in Å.
Fractional coordinates of all 4 atoms:
La1 0.0000 0.0000 0.0000  5 Ni 2.60-2.87
Ni1 0.0000 0.0000 0.4655  1 La 2.60, 4 Au 2.83, 4 Ni 2.87
Ni2 0.5000 0.5000 0.2317  1 Au 2.50
Au1 0.5000 0.5000 0.6792  1 Ni 2.50

Calculated values
Energy relative to the elements, kJ/mol of atoms: -10.82
Density of states at the Fermi level, states/eV/cell: 2.63
Calculated volume, Å³/f.u.: 73

Entry 4:
A relaxed La8NiAu2 crystal, computed with GGA-PBE.

abc: 7.9639 7.9639 6.5121
angles: 103.14 103.14 107.80
Last column: nearest neighbours and their distance in Å.
Fractional coordinates of all 11 atoms:
La1 0.0000 0.0000 0.0000  2 Au 3.08
La2 0.0050 0.2765 0.5306  1 Ni 2.93, 2 Au 3.02-3.17
La3 0.2122 0.5252 0.1766  1 Ni 2.72
La4 0.2765 0.0050 0.5306  1 Ni 2.93, 2 Au 3.02-3.17
La5 0.4644 0.7247 0.8263  2 Au 3.00-3.14, 1 Ni 3.04, 1 La 3.35
La6 0.5252 0.2122 0.1766  1 Ni 2.72
La7 0.7247 0.4644 0.8263  2 Au 3.00-3.14, 1 Ni 3.04, 1 La 3.35
La8 0.7398 0.7398 0.3846  2 Au 3.12
Ni1 0.3658 0.3658 0.4549  4 La 2.72-2.93
Au1 0.0639 0.6833 0.6966  6 La 3.00-3.17
Au2 0.6833 0.0639 0.6966  6 La 3.00-3.17

Calculated values
Energy relative to the elements, kJ/mol of atoms: -23.77
Density of states at the Fermi level, states/eV/cell: 16.58
Calculated volume, Å³/f.u.: 363
Offset from the most stable computed form, eV/atom: 0.0921

Entry 5:
A relaxed LaNi2Au crystal, computed with GGA-PBE.

abc: 5.3357 5.3357 5.3357
angles: 137.75 134.41 63.90
Last column: nearest neighbours and their distance in Å.
Fractional coordinates of all 4 atoms:
La1 0.0000 0.0000 0.0000  8 Ni 2.83-3.05, 4 Au 3.01-3.03
Ni1 0.2613 0.7613 0.5000  2 Ni 2.74, 4 Au 2.83, 4 La 2.99-3.05
Ni2 0.4761 0.4761 0.0000  2 Ni 2.74, 4 La 2.83, 2 Au 2.96
Au1 0.7414 0.2414 0.5000  8 Ni 2.83-3.08, 4 La 3.01-3.03

Calculated values
Energy relative to the elements, kJ/mol of atoms: -21.02
Density of states at the Fermi level, states/eV/cell: 1.54
Calculated volume, Å³/f.u.: 72

Entry 6:
A relaxed La2Ni2Au crystal, computed with GGA-PBE.

abc: 7.4815 7.4815 3.8495
angles: 90.00 90.00 90.00
Last column: nearest neighbours and their distance in Å.
Fractional coordinates of all 10 atoms:
La1 0.1808 0.3192 0.0000  6 Ni 2.87-2.98
La2 0.3192 0.8192 0.0000  6 Ni 2.87-2.98
La3 0.6808 0.1808 0.0000  6 Ni 2.87-2.98
La4 0.8192 0.6808 0.0000  6 Ni 2.87-2.98
Ni1 0.1175 0.6175 0.5000  1 Ni 2.49
Ni2 0.3825 0.1175 0.5000  1 Ni 2.49
Ni3 0.6175 0.8825 0.5000  1 Ni 2.49
Ni4 0.8825 0.3825 0.5000  1 Ni 2.49
Au1 0.0000 0.0000 0.5000  4 Ni 2.99, 8 La 3.35
Au2 0.5000 0.5000 0.5000  4 Ni 2.99, 8 La 3.35

Calculated values
Energy relative to the elements, kJ/mol of atoms: -48.70
Density of states at the Fermi level, states/eV/cell: 9.34
Calculated volume, Å³/f.u.: 108
Offset from the most stable computed form, eV/atom: 0.0395

Entry 7:
A relaxed La5Ni2Au crystal, computed with GGA-PBE.

abc: 8.7997 8.7997 8.7997
angles: 125.78 125.78 80.25
Last column: nearest neighbours and their distance in Å.
Fractional coordinates of all 16 atoms:
La1 0.0000 0.0000 0.0000  4 Ni 3.18, 2 Au 3.36, 8 La 3.55
La2 0.0213 0.5213 0.8211  3 Ni 2.96-3.09
La3 0.2002 0.0213 0.5000  3 Ni 2.96-3.09
La4 0.2998 0.7998 0.8211  3 Ni 2.96-3.09
La5 0.4787 0.2998 0.5000  3 Ni 2.96-3.09
La6 0.5000 0.5000 0.0000  4 Ni 3.18, 2 Au 3.36, 8 La 3.55
La7 0.5213 0.7002 0.5000  3 Ni 2.96-3.09
La8 0.7002 0.2002 0.1789  3 Ni 2.96-3.09
La9 0.7998 0.9787 0.5000  3 Ni 2.96-3.09
La10 0.9787 0.4787 0.1789  3 Ni 2.96-3.09
Ni1 0.1225 0.3775 0.5000  1 Ni 2.78, 6 La 2.96-3.09
Ni2 0.3775 0.8775 0.2549  1 Ni 2.78, 6 La 2.96-3.09
Ni3 0.6225 0.1225 0.7451  1 Ni 2.78, 6 La 2.96-3.09
Ni4 0.8775 0.6225 0.5000  1 Ni 2.78, 6 La 2.96-3.09
Au1 0.2500 0.2500 0.0000  10 La 3.36
Au2 0.7500 0.7500 0.0000  10 La 3.36

Calculated values
Energy relative to the elements, kJ/mol of atoms: -35.35
Density of states at the Fermi level, states/eV/cell: 22.80
Calculated volume, Å³/f.u.: 216

Entry 8:
A relaxed La3NiAu crystal, computed with GGA-PBE.

abc: 5.3792 5.3792 5.3792
angles: 90.00 90.00 90.00
Last column: nearest neighbours and their distance in Å.
Fractional coordinates of all 5 atoms:
La1 0.0000 0.0000 0.5000  2 Ni 2.69
La2 0.0000 0.5000 0.0000  2 Ni 2.69
La3 0.5000 0.0000 0.0000  2 Ni 2.69
Ni1 0.0000 0.0000 0.0000  6 La 2.69
Au1 0.5000 0.5000 0.5000  12 La 3.80

Calculated values
Energy relative to the elements, kJ/mol of atoms: -14.51
Density of states at the Fermi level, states/eV/cell: 9.10
Calculated volume, Å³/f.u.: 156
Offset from the most stable computed form, eV/atom: 0.3108